--- P ---
Compound: CaNiW
Source: Alexandria
Functional: PBE-GGA
Structure: optimized geometry

Summary:
For the calculated volume, the calculation gives 266.1 Å³ per cell. The crystal system is monoclinic.

a b c (Å): 20.1971 3.7328 3.5294
angles (deg): 90.00 90.09 90.00
Closest atoms and distances in Å follow each position.
Space group Cm (No. 8)
Symmetry-distinct sites (fractional):
Ca: 0.0000 0.0000 0.0000 [2 per cell]  1 Ni 2.65
Ca: 0.1555 0.5000 0.5004 [2 per cell]  1 Ni 2.65
Ni: 0.2865 0.5000 0.4977 [2 per cell]  2 Ni 2.43, 6 W 2.57-2.61, 1 Ca 2.65
Ni: 0.3690 0.5000 0.9986 [2 per cell]  2 Ni 2.43, 6 W 2.57-2.61, 1 Ca 2.65
W: 0.2789 0.0000 0.9981 [2 per cell]  6 Ni 2.57-2.61, 2 W 2.65
W: 0.3766 0.0000 0.4986 [2 per cell]  6 Ni 2.57-2.61, 2 W 2.65



--- Q ---
Compound: CaNiW
Source: Alexandria
Functional: PBE-GGA
Structure: optimized geometry

Summary:
For the calculated volume, the calculation gives 118.3 Å³ per cell. The crystal system is monoclinic.

a b c (Å): 2.9755 3.4679 11.4619
angles (deg): 90.00 90.14 90.00
Closest atoms and distances in Å follow each position.
Space group Pm (No. 6)
Symmetry-distinct sites (fractional):
Ca: 0.0000 0.0000 0.0000 [1 per cell]  2 Ca 2.98, 4 Ni 3.00, 1 W 3.20
Ca: 0.4911 0.5000 0.2995 [1 per cell]  2 Ca 2.98, 4 W 3.21
Ni: 0.4947 0.5000 0.6029 [1 per cell]  8 W 2.59-2.65, 1 Ni 2.61
Ni: 0.4981 0.5000 0.8302 [1 per cell]  1 Ni 2.61, 4 W 2.61
W: 0.9930 0.0000 0.4957 [1 per cell]  1 W 2.58, 4 Ni 2.59
W: 0.9968 0.0000 0.7204 [1 per cell]  1 W 2.58, 8 Ni 2.61-2.65



Verdict on stability: P comes out on top.



--- P ---
Compound: CaNiW
Source: Alexandria
Functional: PBE-GGA
Structure: optimized geometry

Summary:
For the calculated volume, the calculation gives 238.1 Å³ per cell. The crystal system is cubic.

a b c (Å): 6.1980 6.1980 6.1980
angles (deg): 90.00 90.00 90.00
Closest atoms and distances in Å follow each position.
Space group F-43m (No. 216)
Symmetry-distinct sites (fractional):
Ca: 0.0000 0.0000 0.0000 [4 per cell]  4 Ni 2.68
Ni: 0.2500 0.2500 0.2500 [4 per cell]  4 Ca 2.68, 4 W 2.68
W: 0.0000 0.0000 0.5000 [4 per cell]  4 Ni 2.68



--- Q ---
Compound: CaNiW
Source: Alexandria
Functional: PBE-GGA
Structure: optimized geometry

Summary:
For the calculated volume, the calculation gives 219.6 Å³ per cell. The crystal system is orthorhombic.

a b c (Å): 5.0622 5.7014 7.6099
angles (deg): 90.00 90.00 90.00
Closest atoms and distances in Å follow each position.
Space group Imma (No. 74)
Symmetry-distinct sites (fractional):
Ca: 0.0000 0.2500 0.1271 [4 per cell]  6 Ni 3.06-3.18, 6 W 3.14-3.26, 2 Ca 3.15
Ni: 0.0000 0.0000 0.5000 [4 per cell]  4 W 2.69, 2 Ni 2.85
W: 0.2500 0.2500 0.7500 [4 per cell]  2 W 2.53, 4 Ni 2.69



Verdict on stability: Q comes out on top.